[1]
# GGA-PBE ZnPbN2, relaxed
data_ZnPbN2
_chemical_formula_sum 'Zn2 Pb2 N4'
_cell_length_a 4.922
_cell_length_b 4.922
_cell_length_c 6.101
_cell_angle_alpha 66.21
_cell_angle_beta 66.21
_cell_angle_gamma 90.00
_symmetry_space_group_name_H-M 'P 1'
_symmetry_Int_Tables_number 1
loop_
_symmetry_equiv_pos_as_xyz
'x,y,z'
loop_
_atom_site_label
_atom_site_type_symbol
_atom_site_fract_x
_atom_site_fract_y
_atom_site_fract_z
Pb1 Pb 0.000 0.000 0.000
Pb2 Pb 0.750 0.250 0.500
Zn1 Zn 0.500 0.500 0.000
Zn2 Zn 0.250 0.750 0.500
N1 N 0.598 0.125 0.250
N2 N 0.152 0.625 0.250
N3 N 0.375 0.402 0.750
N4 N 0.875 0.848 0.750
# Space group = I-42d, No. 122
# Raw formation energy = 474 meV per atom
# ΔE to the lowest computed polymorph = 1 meV per atom
# Fermi-level density of states = 0.0 states/eV/f.u.
# DFT total energy = -39.48 eV per cell

[2]
# GGA-PBE ScAlIn2I, relaxed
data_ScAlIn2I
_chemical_formula_sum 'Sc1 Al1 In2 I1'
_cell_length_a 6.102
_cell_length_b 6.102
_cell_length_c 5.501
_cell_angle_alpha 90.00
_cell_angle_beta 90.00
_cell_angle_gamma 90.00
_symmetry_space_group_name_H-M 'P 1'
_symmetry_Int_Tables_number 1
loop_
_symmetry_equiv_pos_as_xyz
'x,y,z'
loop_
_atom_site_label
_atom_site_type_symbol
_atom_site_fract_x
_atom_site_fract_y
_atom_site_fract_z
I1 I 0.000 0.000 0.000
Sc1 Sc 0.500 0.500 0.500
Al1 Al 0.000 0.000 0.500
In1 In 0.000 0.500 0.000
In2 In 0.500 0.000 0.000
# Space group = P4/mmm, No. 123
# Raw formation energy = 886 meV per atom
# Fermi-level density of states = 5.7 states/eV/f.u.
# DFT total energy = -12.67 eV per cell

[3]
# GGA-PBE BaPtBr2, relaxed
data_BaPtBr2
_chemical_formula_sum 'Ba1 Pt1 Br2'
_cell_length_a 8.980
_cell_length_b 8.980
_cell_length_c 8.980
_cell_angle_alpha 28.27
_cell_angle_beta 28.27
_cell_angle_gamma 28.27
_symmetry_space_group_name_H-M 'P 1'
_symmetry_Int_Tables_number 1
loop_
_symmetry_equiv_pos_as_xyz
'x,y,z'
loop_
_atom_site_label
_atom_site_type_symbol
_atom_site_fract_x
_atom_site_fract_y
_atom_site_fract_z
Br1 Br 0.879 0.879 0.879
Br2 Br 0.121 0.121 0.121
Ba1 Ba 0.000 0.000 0.000
Pt1 Pt 0.500 0.500 0.500
# Space group = R-3m, No. 166
# Raw formation energy = -159 meV per atom
# ΔE to the lowest computed polymorph = 890 meV per atom
# Fermi-level density of states = 3.8 states/eV/f.u.
# DFT total energy = -11.94 eV per cell

[4]
# GGA-PBE Ba4Sr2Ca, relaxed
data_Ba4Sr2Ca
_chemical_formula_sum 'Ba8 Sr4 Ca2'
_cell_length_a 6.917
_cell_length_b 6.905
_cell_length_c 20.385
_cell_angle_alpha 90.00
_cell_angle_beta 90.00
_cell_angle_gamma 120.06
_symmetry_space_group_name_H-M 'P 1'
_symmetry_Int_Tables_number 1
loop_
_symmetry_equiv_pos_as_xyz
'x,y,z'
loop_
_atom_site_label
_atom_site_type_symbol
_atom_site_fract_x
_atom_site_fract_y
_atom_site_fract_z
Sr1 Sr 0.166 0.333 0.445
Sr2 Sr 0.834 0.667 0.945
Sr3 Sr 0.166 0.333 0.055
Sr4 Sr 0.834 0.667 0.555
Ca1 Ca 0.501 0.003 0.750
Ca2 Ca 0.499 0.997 0.250
Ba1 Ba 0.832 0.665 0.146
Ba2 Ba 0.832 0.665 0.354
Ba3 Ba 0.168 0.335 0.854
Ba4 Ba 0.168 0.335 0.646
Ba5 Ba 0.835 0.670 0.750
Ba6 Ba 0.165 0.330 0.250
Ba7 Ba 0.500 0.000 0.000
Ba8 Ba 0.500 0.000 0.500
# Space group = Cmcm, No. 63
# ΔE to the lowest computed polymorph = 0 meV per atom
# Calculated formation energy = 0.104 eV per atom
# Fermi-level density of states = 12.3 states/eV/f.u.
# DFT total energy = -24.66 eV per cell

[5]
# GGA-PBE Ge2MoSe6, relaxed
data_Ge2MoSe6
_chemical_formula_sum 'Ge4 Mo2 Se12'
_cell_length_a 6.527
_cell_length_b 8.499
_cell_length_c 8.499
_cell_angle_alpha 84.58
_cell_angle_beta 82.03
_cell_angle_gamma 82.03
_symmetry_space_group_name_H-M 'P 1'
_symmetry_Int_Tables_number 1
loop_
_symmetry_equiv_pos_as_xyz
'x,y,z'
loop_
_atom_site_label
_atom_site_type_symbol
_atom_site_fract_x
_atom_site_fract_y
_atom_site_fract_z
Ge1 Ge 0.153 0.617 0.781
Ge2 Ge 0.347 0.219 0.383
Ge3 Ge 0.847 0.383 0.219
Ge4 Ge 0.653 0.781 0.617
Mo1 Mo 0.250 0.124 0.876
Mo2 Mo 0.750 0.876 0.124
Se1 Se 0.340 0.713 0.534
Se2 Se 0.160 0.466 0.287
Se3 Se 0.660 0.287 0.466
Se4 Se 0.840 0.534 0.713
Se5 Se 0.868 0.890 0.374
Se6 Se 0.632 0.626 0.110
Se7 Se 0.132 0.110 0.626
Se8 Se 0.368 0.374 0.890
Se9 Se 0.116 0.823 0.977
Se10 Se 0.384 0.023 0.177
Se11 Se 0.884 0.177 0.023
Se12 Se 0.616 0.977 0.823
# Space group = C2/c, No. 15
# Raw formation energy = -193 meV per atom
# Fermi-level density of states = 2.3 states/eV/f.u.
# DFT total energy = -85.43 eV per cell

[6]
# GGA-PBE LiPmGe2, relaxed
data_LiPmGe2
_chemical_formula_sum 'Li4 Pm4 Ge8'
_cell_length_a 3.954
_cell_length_b 7.830
_cell_length_c 10.616
_cell_angle_alpha 90.00
_cell_angle_beta 90.00
_cell_angle_gamma 90.00
_symmetry_space_group_name_H-M 'P 1'
_symmetry_Int_Tables_number 1
loop_
_symmetry_equiv_pos_as_xyz
'x,y,z'
loop_
_atom_site_label
_atom_site_type_symbol
_atom_site_fract_x
_atom_site_fract_y
_atom_site_fract_z
Li1 Li 0.250 0.487 0.108
Li2 Li 0.250 0.987 0.392
Li3 Li 0.750 0.513 0.892
Li4 Li 0.750 0.013 0.608
Pm1 Pm 0.750 0.861 0.136
Pm2 Pm 0.250 0.139 0.864
Pm3 Pm 0.750 0.361 0.364
Pm4 Pm 0.250 0.639 0.636
Ge1 Ge 0.750 0.846 0.815
Ge2 Ge 0.250 0.154 0.185
Ge3 Ge 0.750 0.346 0.685
Ge4 Ge 0.250 0.654 0.315
Ge5 Ge 0.750 0.775 0.435
Ge6 Ge 0.250 0.725 0.935
Ge7 Ge 0.750 0.275 0.065
Ge8 Ge 0.250 0.225 0.565
# Space group = Pnma, No. 62
# ΔE to the lowest computed polymorph = 0 meV per atom
# Calculated formation energy = -0.665 eV per atom
# Fermi-level density of states = 1.5 states/eV/f.u.
# DFT total energy = -74.23 eV per cell

[7]
# GGA-PBE Ba6Pr2MgRu4O18, relaxed
data_Ba6Pr2MgRu4O18
_chemical_formula_sum 'Ba6 Pr2 Mg1 Ru4 O18'
_cell_length_a 6.030
_cell_length_b 6.030
_cell_length_c 15.509
_cell_angle_alpha 90.00
_cell_angle_beta 90.00
_cell_angle_gamma 120.00
_symmetry_space_group_name_H-M 'P 1'
_symmetry_Int_Tables_number 1
loop_
_symmetry_equiv_pos_as_xyz
'x,y,z'
loop_
_atom_site_label
_atom_site_type_symbol
_atom_site_fract_x
_atom_site_fract_y
_atom_site_fract_z
Ba1 Ba 0.333 0.667 0.366
Ba2 Ba 0.000 0.000 0.000
Ba3 Ba 0.667 0.333 0.203
Ba4 Ba 0.667 0.333 0.797
Ba5 Ba 0.333 0.667 0.634
Ba6 Ba 0.000 0.000 0.500
Pr1 Pr 0.000 0.000 0.252
Pr2 Pr 0.000 0.000 0.748
Mg1 Mg 0.667 0.333 0.000
Ru1 Ru 0.333 0.667 0.090
Ru2 Ru 0.667 0.333 0.580
Ru3 Ru 0.667 0.333 0.420
Ru4 Ru 0.333 0.667 0.910
O1 O 0.178 0.822 0.841
O2 O 0.178 0.356 0.841
O3 O 0.644 0.822 0.841
O4 O 0.357 0.179 0.343
O5 O 0.821 0.643 0.657
O6 O 0.821 0.179 0.343
O7 O 0.821 0.643 0.343
O8 O 0.178 0.822 0.159
O9 O 0.644 0.822 0.159
O10 O 0.357 0.179 0.657
O11 O 0.821 0.179 0.657
O12 O 0.178 0.356 0.159
O13 O 0.487 0.974 0.000
O14 O 0.510 0.490 0.500
O15 O 0.981 0.490 0.500
O16 O 0.026 0.513 0.000
O17 O 0.487 0.513 0.000
O18 O 0.510 0.019 0.500
# Space group = P-6m2, No. 187
# Raw formation energy = -2089 meV per atom
# Fermi-level density of states = 12.3 states/eV/f.u.
# DFT total energy = -213.80 eV per cell

[8]
# GGA-PBE Pr3Si4Pd7, relaxed
data_Pr3Si4Pd7
_chemical_formula_sum 'Pr3 Si4 Pd7'
_cell_length_a 4.119
_cell_length_b 8.232
_cell_length_c 8.411
_cell_angle_alpha 71.05
_cell_angle_beta 75.83
_cell_angle_gamma 75.51
_symmetry_space_group_name_H-M 'P 1'
_symmetry_Int_Tables_number 1
loop_
_symmetry_equiv_pos_as_xyz
'x,y,z'
loop_
_atom_site_label
_atom_site_type_symbol
_atom_site_fract_x
_atom_site_fract_y
_atom_site_fract_z
Pr1 Pr 0.324 0.178 0.175
Pr2 Pr 0.676 0.822 0.825
Pr3 Pr 0.000 0.500 0.500
Si1 Si 0.664 0.447 0.224
Si2 Si 0.336 0.553 0.776
Si3 Si 0.891 0.891 0.326
Si4 Si 0.109 0.109 0.674
Pd1 Pd 0.307 0.852 0.534
Pd2 Pd 0.493 0.241 0.774
Pd3 Pd 0.830 0.418 0.923
Pd4 Pd 0.693 0.148 0.466
Pd5 Pd 0.170 0.582 0.077
Pd6 Pd 0.000 0.000 0.000
Pd7 Pd 0.507 0.759 0.226
# Space group = C2/m, No. 12
# Raw formation energy = -855 meV per atom
# Fermi-level density of states = 8.5 states/eV/f.u.
# DFT total energy = -84.34 eV per cell

[9]
# GGA-PBE Pr4Tl2Ga, relaxed
data_Pr4Tl2Ga
_chemical_formula_sum 'Pr4 Tl2 Ga1'
_cell_length_a 3.819
_cell_length_b 6.955
_cell_length_c 9.642
_cell_angle_alpha 114.73
_cell_angle_beta 101.42
_cell_angle_gamma 90.00
_symmetry_space_group_name_H-M 'P 1'
_symmetry_Int_Tables_number 1
loop_
_symmetry_equiv_pos_as_xyz
'x,y,z'
loop_
_atom_site_label
_atom_site_type_symbol
_atom_site_fract_x
_atom_site_fract_y
_atom_site_fract_z
Pr1 Pr 0.912 0.272 0.825
Pr2 Pr 0.088 0.728 0.175
Pr3 Pr 0.628 0.283 0.257
Pr4 Pr 0.372 0.717 0.743
Tl1 Tl 0.742 0.805 0.485
Tl2 Tl 0.258 0.195 0.515
Ga1 Ga 0.000 0.000 0.000
# Space group = C2/m, No. 12
# ΔE to the lowest computed polymorph = 41 meV per atom
# Calculated formation energy = -0.245 eV per atom
# Fermi-level density of states = 7.2 states/eV/f.u.
# DFT total energy = -28.59 eV per cell

[10]
# GGA-PBE Pr3DyTm2Se6, relaxed
data_Pr3DyTm2Se6
_chemical_formula_sum 'Pr3 Dy1 Tm2 Se6'
_cell_length_a 7.083
_cell_length_b 7.083
_cell_length_c 7.393
_cell_angle_alpha 99.18
_cell_angle_beta 99.18
_cell_angle_gamma 120.18
_symmetry_space_group_name_H-M 'P 1'
_symmetry_Int_Tables_number 1
loop_
_symmetry_equiv_pos_as_xyz
'x,y,z'
loop_
_atom_site_label
_atom_site_type_symbol
_atom_site_fract_x
_atom_site_fract_y
_atom_site_fract_z
Pr1 Pr 0.164 0.836 0.500
Pr2 Pr 0.836 0.164 0.500
Pr3 Pr 0.500 0.500 0.500
Dy1 Dy 0.000 0.000 0.000
Tm1 Tm 0.334 0.666 0.000
Tm2 Tm 0.666 0.334 0.000
Se1 Se 0.924 0.587 0.771
Se2 Se 0.739 0.739 0.227
Se3 Se 0.076 0.413 0.229
Se4 Se 0.587 0.924 0.771
Se5 Se 0.261 0.261 0.773
Se6 Se 0.413 0.076 0.229
# Space group = C2/m, No. 12
# Raw formation energy = -1780 meV per atom
# Fermi-level density of states = 5.2 states/eV/f.u.
# DFT total energy = -70.15 eV per cell

Number 1: spin magnetization 0.00 μB/cell. Number 2: spin magnetization 1.05 μB/cell. Number 3: spin magnetization 1.46 μB/cell. Number 4: spin magnetization 0.00 μB/cell. Number 5: spin magnetization 0.00 μB/cell. Number 6: spin magnetization 0.00 μB/cell. Number 7: spin magnetization 6.06 μB/cell. Number 8: spin magnetization 0.00 μB/cell. Number 9: spin magnetization 0.00 μB/cell. Number 10: spin magnetization 0.00 μB/cell.